No. 1
meta-GGA SCAN KLaSe2, single point on PBEsol structure; E = -24.61 eV/atom; SG = P4/mmm (123)
1.0
5.218 0.000 0.000
0.000 5.218 0.000
0.000 0.000 3.748
K La Se
1 1 2
direct
0.000 0.000 0.000
0.500 0.500 0.000
0.000 0.500 0.500
0.500 0.000 0.500

No. 2
meta-GGA SCAN KLaSi2, single point on PBEsol structure; relative energy among the computed polymorphs = 46 meV per atom; SG = R3m (160)
1.0
1.993 1.151 8.738
-1.993 1.151 8.738
0.000 -2.301 8.738
K La Si
1 1 2
direct
0.000 0.000 0.000
0.817 0.817 0.817
0.242 0.242 0.242
0.557 0.557 0.557

No. 3
meta-GGA SCAN KLaSi2, single point on PBEsol structure; relative energy among the computed polymorphs = 455 meV per atom; SG = I-4m2 (119)
1.0
-2.237 2.237 4.800
2.237 -2.237 4.800
2.237 2.237 -4.800
K La Si
1 1 2
direct
0.000 0.000 0.000
0.750 0.250 0.500
0.250 0.750 0.500
0.500 0.500 0.000

No. 4
meta-GGA SCAN KLaSi2, single point on PBEsol structure; relative energy among the computed polymorphs = 0 meV per atom; SG = C2/m (12)
1.0
5.386 -2.009 0.000
5.386 2.009 0.000
-4.774 0.000 6.209
K La Si
1 1 2
direct
0.000 0.000 0.000
0.500 0.500 0.500
0.229 0.229 0.560
0.771 0.771 0.440

No. 5
meta-GGA SCAN KLaSn2W, single point on PBEsol structure; formation enthalpy at 0 K = 1.87 eV per atom; SG = P4/mmm (123)
1.0
5.799 0.000 0.000
0.000 5.799 0.000
0.000 0.000 5.758
K La Sn W
1 1 2 1
direct
0.000 0.000 0.000
0.000 0.000 0.500
0.000 0.500 0.500
0.500 0.000 0.500
0.500 0.500 0.000

No. 6
meta-GGA SCAN K2Sr2La, single point on PBEsol structure; formation enthalpy at 0 K = 0.38 eV per atom; SG = I4/mmm (139)
1.0
-2.438 2.438 11.128
2.438 -2.438 11.128
2.438 2.438 -11.128
K Sr La
2 2 1
direct
0.250 0.750 0.500
0.750 0.250 0.500
0.089 0.089 0.000
0.911 0.911 0.000
0.500 0.500 0.000

No. 7
meta-GGA SCAN KSr2La, single point on PBEsol structure; formation enthalpy at 0 K = 0.26 eV per atom; SG = Cmmm (65)
1.0
4.355 -5.463 0.000
4.355 5.463 0.000
0.000 0.000 4.011
K Sr La
1 2 1
direct
0.000 0.000 0.000
0.000 0.500 0.500
0.500 0.000 0.500
0.500 0.500 0.000

No. 8
meta-GGA SCAN KSrLa2, single point on PBEsol structure; formation enthalpy at 0 K = 0.41 eV per atom; SG = F-43m (216)
1.0
0.000 4.403 4.403
4.403 0.000 4.403
4.403 4.403 0.000
K Sr La
1 1 2
direct
0.000 0.000 0.000
0.750 0.750 0.750
0.250 0.250 0.250
0.500 0.500 0.500

No. 9
meta-GGA SCAN KLaTa3, single point on PBEsol structure; formation enthalpy at 0 K = 2.37 eV per atom; SG = Pm-3m (221)
1.0
5.040 0.000 0.000
0.000 5.040 0.000
0.000 0.000 5.040
K La Ta
1 1 3
direct
0.000 0.000 0.000
0.500 0.500 0.500
0.000 0.500 0.500
0.500 0.000 0.500
0.500 0.500 0.000

No. 10
meta-GGA SCAN K2LaTa, single point on PBEsol structure; relative energy among the computed polymorphs = 5 meV per atom; formation enthalpy at 0 K = 1.22 eV per atom; SG = I4/mmm (139)
1.0
-2.242 2.242 6.665
2.242 -2.242 6.665
2.242 2.242 -6.665
K La Ta
2 1 1
direct
0.250 0.750 0.500
0.750 0.250 0.500
0.000 0.000 0.000
0.500 0.500 0.000

No. 11
meta-GGA SCAN K2LaTa, single point on PBEsol structure; relative energy among the computed polymorphs = 0 meV per atom; formation enthalpy at 0 K = 1.21 eV per atom; SG = P4/mmm (123)
1.0
4.495 0.000 0.000
0.000 4.495 0.000
0.000 0.000 6.656
K La Ta
2 1 1
direct
0.000 0.500 0.000
0.500 0.000 0.000
0.000 0.000 0.500
0.500 0.500 0.500

No. 12
meta-GGA SCAN KLaTa, single point on PBEsol structure; formation enthalpy at 0 K = 1.72 eV per atom; SG = F-43m (216)
1.0
0.000 3.774 3.774
3.774 0.000 3.774
3.774 3.774 0.000
K La Ta
1 1 1
direct
0.000 0.000 0.000
0.500 0.500 0.500
0.250 0.250 0.250

No. 13
meta-GGA SCAN KLa2YTa, single point on PBEsol structure; formation enthalpy at 0 K = 1.72 eV per atom; SG = P4/mmm (123)
1.0
5.273 0.000 0.000
0.000 5.273 0.000
0.000 0.000 5.163
K La Y Ta
1 2 1 1
direct
0.000 0.000 0.000
0.000 0.500 0.000
0.500 0.000 0.000
0.000 0.000 0.500
0.500 0.500 0.500

No. 14
meta-GGA SCAN KLa2Tc, single point on PBEsol structure; relative energy among the computed polymorphs = 55 meV per atom; formation enthalpy at 0 K = 0.28 eV per atom; SG = P4mm (99)
1.0
3.969 0.000 0.000
0.000 3.969 0.000
0.000 0.000 9.835
K La Tc
1 2 1
direct
0.000 0.000 0.000
0.000 0.000 0.613
0.500 0.500 0.343
0.500 0.500 0.577

No. 15
meta-GGA SCAN KLa2Tc, single point on PBEsol structure; relative energy among the computed polymorphs = 0 meV per atom; formation enthalpy at 0 K = 0.23 eV per atom; SG = C2/m (12)
1.0
3.587 -2.067 0.000
3.587 2.067 0.000
-2.315 0.000 10.194
K La Tc
1 2 1
direct
0.000 0.000 0.000
0.213 0.213 0.644
0.787 0.787 0.356
0.500 0.500 0.500

No. 16
meta-GGA SCAN KLa2Tc, single point on PBEsol structure; relative energy among the computed polymorphs = 551 meV per atom; formation enthalpy at 0 K = 0.78 eV per atom; SG = P4/mmm (123)
1.0
5.094 0.000 0.000
0.000 5.094 0.000
0.000 0.000 4.070
K La Tc
1 2 1
direct
0.000 0.000 0.000
0.000 0.500 0.500
0.500 0.000 0.500
0.500 0.500 0.000

No. 17
meta-GGA SCAN KLaTc2, single point on PBEsol structure; relative energy among the computed polymorphs = 449 meV per atom; formation enthalpy at 0 K = 1.20 eV per atom; SG = I4/mmm (139)
1.0
-1.935 1.935 5.232
1.935 -1.935 5.232
1.935 1.935 -5.232
K La Tc
1 1 2
direct
0.000 0.000 0.000
0.500 0.500 0.000
0.250 0.750 0.500
0.750 0.250 0.500

No. 18
meta-GGA SCAN K2LaTc, single point on PBEsol structure; formation enthalpy at 0 K = 0.58 eV per atom; SG = Pmm2 (25)
1.0
3.496 0.000 0.000
0.000 3.975 0.000
0.000 0.000 10.661
K La Tc
2 1 1
direct
0.000 0.000 0.000
0.500 0.500 0.377
0.000 0.000 0.674
0.500 0.500 0.738

No. 19
meta-GGA SCAN KLaTc, single point on PBEsol structure; formation enthalpy at 0 K = 0.74 eV per atom; SG = I4mm (107)
1.0
-1.816 1.816 6.922
1.816 -1.816 6.922
1.816 1.816 -6.922
K La Tc
1 1 1
direct
0.000 0.000 0.000
0.743 0.743 0.000
0.309 0.309 0.000

No. 20
meta-GGA SCAN KLa2Tc, single point on PBEsol structure; relative energy among the computed polymorphs = 7 meV per atom; formation enthalpy at 0 K = 0.24 eV per atom; SG = Pm (6)
1.0
4.362 0.000 0.000
0.000 3.708 0.000
-2.185 0.000 9.223
K La Tc
1 2 1
direct
0.000 0.000 0.000
0.322 0.000 0.647
0.681 0.500 0.364
0.806 0.500 0.615

No. 21
meta-GGA SCAN KLaTc2, single point on PBEsol structure; relative energy among the computed polymorphs = 0 meV per atom; formation enthalpy at 0 K = 0.75 eV per atom; SG = Pmmm (47)
1.0
3.081 0.000 0.000
0.000 4.957 0.000
0.000 0.000 7.262
K La Tc
1 1 2
direct
0.000 0.000 0.000
0.000 0.000 0.500
0.500 0.500 0.353
0.500 0.500 0.647

No. 22
meta-GGA SCAN KLa2Tc, single point on PBEsol structure; relative energy among the computed polymorphs = 164 meV per atom; formation enthalpy at 0 K = 0.39 eV per atom; SG = Immm (71)
1.0
-1.969 3.246 4.954
1.969 -3.246 4.954
1.969 3.246 -4.954
K La Tc
1 2 1
direct
0.000 0.000 0.000
0.319 0.819 0.500
0.681 0.181 0.500
0.500 0.500 0.000

No. 23
meta-GGA SCAN KLa2Te, single point on PBEsol structure; E = -33.61 eV/atom; SG = Pm (6)
1.0
4.164 0.000 0.000
0.000 4.164 0.000
-0.012 0.000 9.147
K La Te
1 2 1
direct
0.000 0.000 0.000
0.001 0.000 0.590
0.501 0.500 0.362
0.502 0.500 0.726

No. 24
meta-GGA SCAN KLaTl2, single point on PBEsol structure; formation enthalpy at 0 K = -0.39 eV per atom; SG = Pmm2 (25)
1.0
3.804 0.000 0.000
0.000 5.729 0.000
0.000 0.000 5.729
K La Tl
1 1 2
direct
0.000 0.000 0.000
0.000 0.500 0.502
0.500 0.000 0.500
0.500 0.500 0.003

No. 25
meta-GGA SCAN KLaTl2, single point on PBEsol structure; formation enthalpy at 0 K = -0.26 eV per atom; SG = Cm (8)
1.0
6.401 -1.784 0.000
6.401 1.784 0.000
-1.916 0.000 5.471
K La Tl
1 1 2
direct
0.000 0.000 0.000
0.204 0.204 0.643
0.458 0.458 0.476
0.755 0.755 0.180

No. 26
meta-GGA SCAN KLaTl2, single point on PBEsol structure; formation enthalpy at 0 K = -0.41 eV per atom; SG = P4/mmm (123)
1.0
3.892 0.000 0.000
0.000 3.892 0.000
0.000 0.000 8.659
K La Tl
1 1 2
direct
0.000 0.000 0.000
0.000 0.000 0.500
0.500 0.500 0.283
0.500 0.500 0.717

No. 27
meta-GGA SCAN KLa2W, single point on PBEsol structure; relative energy among the computed polymorphs = 46 meV per atom; formation enthalpy at 0 K = 0.93 eV per atom; SG = Fm-3m (225)
1.0
0.000 3.735 3.735
3.735 0.000 3.735
3.735 3.735 0.000
K La W
1 2 1
direct
0.000 0.000 0.000
0.250 0.250 0.250
0.750 0.750 0.750
0.500 0.500 0.500

No. 28
meta-GGA SCAN KLa2W, single point on PBEsol structure; relative energy among the computed polymorphs = 281 meV per atom; formation enthalpy at 0 K = 1.17 eV per atom; SG = C2/m (12)
1.0
3.663 -5.074 0.000
3.663 5.074 0.000
-0.898 0.000 2.850
K La W
1 2 1
direct
0.000 0.000 0.000
0.000 0.500 0.500
0.500 0.000 0.500
0.500 0.500 0.000

No. 29
meta-GGA SCAN KLa2W, single point on PBEsol structure; relative energy among the computed polymorphs = 0 meV per atom; formation enthalpy at 0 K = 0.89 eV per atom; SG = Immm (71)
1.0
-2.422 2.906 3.860
2.422 -2.906 3.860
2.422 2.906 -3.860
K La W
1 2 1
direct
0.000 0.000 0.000
0.281 0.781 0.500
0.719 0.219 0.500
0.500 0.500 0.000

No. 30
meta-GGA SCAN KLaW, single point on PBEsol structure; relative energy among the computed polymorphs = 120 meV per atom; formation enthalpy at 0 K = 1.29 eV per atom; SG = P3m1 (156)
1.0
3.041 0.000 0.000
-1.520 2.633 0.000
0.000 0.000 9.478
K La W
1 1 1
direct
0.000 0.000 0.000
0.333 0.667 0.595
0.667 0.333 0.312

No. 31
meta-GGA SCAN KLaW, single point on PBEsol structure; relative energy among the computed polymorphs = 0 meV per atom; formation enthalpy at 0 K = 1.17 eV per atom; SG = I4mm (107)
1.0
-1.483 1.483 9.166
1.483 -1.483 9.166
1.483 1.483 -9.166
K La W
1 1 1
direct
0.000 0.000 0.000
0.714 0.714 0.000
0.344 0.344 0.000

The following Fermi-level density of states values (in states/eV per atom) correspond, in order, to the records above: 0.10 0.60 1.05 0.34 0.73 1.03 1.09 1.49 1.26 1.29 1.30 1.13 1.29 0.70 0.82 1.05 0.69 0.77 1.25 0.85 0.73 0.61 0.91 0.66 0.79 0.39 0.65 1.20 1.08 1.29 0.81.
The following ρ values (in g/cm3) correspond, in order, to the records above: 5.47 3.23 4.05 2.89 5.14 2.46 3.07 3.93 9.35 4.93 4.91 5.54 6.79 4.45 4.56 6.52 7.93 3.53 5.02 4.62 5.60 5.44 4.65 7.80 7.80 7.43 7.98 7.85 7.65 7.92 7.46.
The following calculated volume values (in A^3/atom) correspond, in order, to the records above: 25.51 30.06 24.02 33.58 38.72 52.93 47.72 42.69 25.60 33.51 33.63 35.84 28.71 38.73 37.79 26.40 19.58 37.04 30.44 37.29 27.73 31.67 39.65 31.22 31.24 32.79 26.06 26.48 27.16 25.30 26.86.